{
  "formula": "TcI",
  "functional": "PBE",
  "state": "relaxed",
  "magmom_total_mub_per_cell": 0.0,
  "e_above_lowest_polymorph_mev_per_atom": 0,
  "rho_g_cm3": 7.1,
  "sg": "F-43m, No. 216",
  "dft_energy_ev_per_atom": -4.80,
  "cell": [[-2.960, 0.933, 2.851], [-2.834, 3.011, -0.814], [-4.021, -1.031, -0.723]],
  "species": ["I", "Tc"],
  "frac_coords": [[0.000, 0.000, 0.000], [0.250, 0.250, 0.250]]
}